Below is a geometry-optimized AcZn structure, with properties calculated at the GGA-PBE level.

a b c (Å): 5.1251 10.3614 6.8590
angles (deg): 90.00 90.00 90.00
Space group Pmc2_1 (No. 26)
One atom of each set of equivalent atoms:
Ac 0.0000 0.0361 0.0000 (multiplicity 2)
Ac 0.0000 0.3514 0.6828 (multiplicity 2)
Ac 0.5000 0.2241 0.2845 (multiplicity 2)
Zn 0.0000 0.3542 0.1491 (multiplicity 2)
Zn 0.5000 0.1240 0.7388 (multiplicity 2)
Zn 0.5000 0.4723 0.9700 (multiplicity 2)

calculated formation energy = -0.11 eV/atom



Below is a geometry-optimized YMgCd2 structure, with properties calculated at the GGA-PBE level.

a b c (Å): 3.4845 3.4845 7.7072
angles (deg): 90.00 90.00 90.00
Space group P4/mmm (No. 123)
One atom of each set of equivalent atoms:
Y 0.0000 0.0000 0.0000 (multiplicity 1)
Mg 0.0000 0.0000 0.5000 (multiplicity 1)
Cd 0.5000 0.5000 0.2713 (multiplicity 2)

uncorrected energy = -2.71 eV per atom



Below is a geometry-optimized FeRe4N3 structure, with properties calculated at the GGA-PBE level.

a b c (Å): 4.4726 4.4726 8.9397
angles (deg): 90.00 90.00 90.00
Space group I4/mmm (No. 139)
One atom of each set of equivalent atoms:
Fe 0.0000 0.0000 0.0000 (multiplicity 2)
Re 0.0000 0.0000 0.2757 (multiplicity 4)
Re 0.0000 0.5000 0.0000 (multiplicity 4)
N 0.0000 0.0000 0.5000 (multiplicity 2)
N 0.0000 0.5000 0.2500 (multiplicity 4)

uncorrected energy = -9.28 eV per atom



Below is a geometry-optimized PrSm2Ga2Ni4 structure, with properties calculated at the GGA-PBE level.

a b c (Å): 10.1209 4.1617 8.2329
angles (deg): 90.00 98.86 90.00
Space group C2/m (No. 12)
One atom of each set of equivalent atoms:
Pr 0.0000 0.0000 0.0000 (multiplicity 2)
Sm 0.1248 0.5000 0.3815 (multiplicity 4)
Ga 0.1774 0.5000 0.7814 (multiplicity 4)
Ni 0.0836 0.0000 0.6329 (multiplicity 4)
Ni 0.2365 0.5000 0.0864 (multiplicity 4)

uncorrected energy = -5.24 eV per atom



Below is a geometry-optimized TmIrAu structure, with properties calculated at the GGA-PBE level.

a b c (Å): 7.7693 7.7693 3.2377
angles (deg): 90.00 90.00 120.00
Space group P-62m (No. 189)
One atom of each set of equivalent atoms:
Tm 0.0000 0.3008 0.0000 (multiplicity 3)
Ir 0.0000 0.6286 0.5000 (multiplicity 3)
Au 0.0000 0.0000 0.5000 (multiplicity 1)
Au 0.3333 0.6667 0.0000 (multiplicity 2)

calculated formation energy = -0.39 eV/atom



Below is a geometry-optimized Cu3Ag structure, with properties calculated at the GGA-PBE level.

a b c (Å): 5.4559 2.7236 7.6836
angles (deg): 90.00 110.54 90.00
Space group P2_1/m (No. 11)
One atom of each set of equivalent atoms:
Cu 0.0496 0.2500 0.3797 (multiplicity 2)
Cu 0.3112 0.2500 0.8626 (multiplicity 2)
Cu 0.4120 0.7500 0.6050 (multiplicity 2)
Ag 0.2053 0.7500 0.1376 (multiplicity 2)

calculated formation energy = 0.08 eV/atom